The following is a DFT calculation (GGA-PBEsol) of crystalline RbCaOs3 at its relaxed geometry.

Lattice parameters (Å, degrees): 4.753 4.753 4.753 90.00 90.00 90.00
Space group Pm-3m (No. 221)
Unique sites:
Rb 0.000 0.000 0.000
Ca 0.500 0.500 0.500
Os 0.000 0.000 0.500

Computed properties:
V: 107 Å³ per cell
uncorrected energy: -22.8 eV per cell
energy relative to the elements: 329 kJ per mole of atoms
total magnetization: 0.9 Bohr magnetons per cell
D(E_F): 10.27 states/eV/f.u.

The following is a DFT calculation (GGA-PBEsol) of crystalline CaReOs2 at its relaxed geometry.

Lattice parameters (Å, degrees): 6.301 6.301 6.301 90.00 90.00 90.00
Space group Fm-3m (No. 225)
Unique sites:
Ca 0.000 0.000 0.000
Re 0.000 0.000 0.500
Os 0.250 0.250 0.250

Computed properties:
energy above the most stable polymorph in this dataset: 0.00 eV per formula unit
V: 250 Å³ per cell
uncorrected energy: -149.4 eV per cell
energy relative to the elements: 61 kJ per mole of atoms
total magnetization: 0.0 Bohr magnetons per cell
D(E_F): 3.36 states/eV/f.u.